GGA-PBE MgTiI2N, optimized geometry; space-group type = P4/mmm (123); spin magnetization = 0.4 Bohr magnetons per cell; ΔE to the lowest computed polymorph = 0.00 eV/f.u.; formation energy (no corrections) = -5.30 kcal/mol of atoms
1.0
5.753 0.000 0.000
0.000 5.753 0.000
0.000 0.000 3.796
Mg Ti I N
1 1 2 1
Cartesian
0.000 0.000 0.000
2.876 2.876 1.898
0.000 2.876 1.898
2.876 0.000 1.898
2.876 2.876 0.000